--- a ---
! OsO (GGA-PBE, optimized geometry); values from VASP
&SYSTEM
  ibrav = 0, nat = 16, ntyp = 2
/
ATOMIC_SPECIES
Os 190.23 Os.upf
O 16.00 O.upf
CELL_PARAMETERS angstrom
4.906 0.000 0.000
0.000 5.010 0.000
0.000 0.000 8.161
ATOMIC_POSITIONS angstrom
Os 0.233 0.891 2.268
Os 0.239 2.326 6.627
Os 2.214 2.684 2.547
Os 2.219 4.120 6.349
Os 2.686 1.615 5.893
Os 2.691 0.179 1.534
Os 4.667 4.832 5.615
Os 4.672 3.396 1.812
O 0.165 2.040 0.444
O 0.377 4.186 7.385
O 2.076 0.825 3.304
O 2.287 2.970 4.524
O 2.618 0.465 7.718
O 2.830 3.330 0.777
O 4.528 1.681 4.857
O 4.740 4.545 3.637
! N(E_F) ... 10.8 states/eV per cell
! Space group ... P2_12_12_1, No. 19
! M_tot ... 0.000 μB per atom

--- b ---
! OsO (GGA-PBE, optimized geometry); values from VASP
&SYSTEM
  ibrav = 0, nat = 8, ntyp = 2
/
ATOMIC_SPECIES
Os 190.23 Os.upf
O 16.00 O.upf
CELL_PARAMETERS angstrom
0.000 4.381 8.960
1.318 0.000 8.960
1.318 4.381 0.000
ATOMIC_POSITIONS angstrom
Os 0.329 1.095 0.656
Os 0.329 1.095 3.824
Os 2.306 7.667 14.096
Os 2.306 7.667 17.264
O 0.988 0.025 6.720
O 1.647 2.216 11.200
O 0.988 6.547 6.720
O 1.647 8.737 11.200
! N(E_F) ... 6.7 states/eV per cell
! Space group ... Fddd, No. 70
! M_tot ... 0.000 μB per atom

Short version: a, b, most stable first.

--- a ---
! OsO (GGA-PBE, optimized geometry); values from VASP
&SYSTEM
  ibrav = 0, nat = 16, ntyp = 2
/
ATOMIC_SPECIES
Os 190.23 Os.upf
O 16.00 O.upf
CELL_PARAMETERS angstrom
9.295 0.000 0.000
0.000 9.295 0.000
0.000 0.000 2.683
ATOMIC_POSITIONS angstrom
Os 0.723 3.597 0.000
Os 2.450 6.705 1.342
Os 2.590 2.450 1.342
Os 3.597 8.572 0.000
Os 5.698 0.723 0.000
Os 6.705 6.845 1.342
Os 6.845 2.590 1.342
Os 8.572 5.698 0.000
O 0.932 6.772 0.000
O 2.091 4.524 1.342
O 2.523 0.932 0.000
O 4.524 7.204 1.342
O 4.770 2.091 1.342
O 6.772 8.363 0.000
O 7.204 4.770 1.342
O 8.363 2.523 0.000
! N(E_F) ... 5.2 states/eV per cell
! Space group ... P4/m, No. 83
! M_tot ... 0.000 μB per atom

--- b ---
! OsO (GGA-PBE, optimized geometry); values from VASP
&SYSTEM
  ibrav = 0, nat = 8, ntyp = 2
/
ATOMIC_SPECIES
Os 190.23 Os.upf
O 16.00 O.upf
CELL_PARAMETERS angstrom
6.486 0.000 0.000
0.000 6.486 0.000
0.000 0.000 2.693
ATOMIC_POSITIONS angstrom
Os 0.868 0.868 0.000
Os 2.375 4.111 1.347
Os 4.111 2.375 1.347
Os 5.618 5.618 0.000
O 1.242 5.243 0.000
O 2.001 2.001 1.347
O 4.485 4.485 1.347
O 5.243 1.242 0.000
! N(E_F) ... 9.7 states/eV per cell
! Space group ... P4_2/mnm, No. 136
! M_tot ... 0.000 μB per atom

Short version: a, b, most stable first.

--- a ---
! OsO (GGA-PBE, optimized geometry); values from VASP
&SYSTEM
  ibrav = 0, nat = 8, ntyp = 2
/
ATOMIC_SPECIES
Os 190.23 Os.upf
O 16.00 O.upf
CELL_PARAMETERS angstrom
-3.380 3.380 3.380
3.380 -3.380 3.380
3.380 3.380 -3.380
ATOMIC_POSITIONS angstrom
Os 0.870 0.870 -0.870
Os 0.870 -0.870 0.870
Os -0.870 0.870 0.870
Os 2.509 2.509 2.509
O 1.974 1.974 -1.974
O 1.974 -1.974 1.974
O 1.405 1.405 1.405
O -1.974 1.974 1.974
! N(E_F) ... 8.4 states/eV per cell
! Space group ... I-43m, No. 217
! M_tot ... 0.000 μB per atom

--- b ---
! OsO (GGA-PBE, optimized geometry); values from VASP
&SYSTEM
  ibrav = 0, nat = 4, ntyp = 2
/
ATOMIC_SPECIES
Os 190.23 Os.upf
O 16.00 O.upf
CELL_PARAMETERS angstrom
2.735 0.000 0.000
-1.368 2.369 0.000
0.000 0.000 6.969
ATOMIC_POSITIONS angstrom
Os 0.000 1.579 0.000
Os 1.368 0.790 3.484
O 0.000 1.579 4.999
O 1.368 0.790 1.515
! N(E_F) ... 2.7 states/eV per cell
! Space group ... P6_3mc, No. 186
! M_tot ... 0.000 μB per atom

Short version: b, a, most stable first.